The following is a DFT calculation (PBE) of an optimized crystal structure of Al12Mo.

Unit cell a=6.568 b=6.568 c=6.568 alpha=109.47 beta=109.47 gamma=109.47
Positions (direct):
Al 0.187 0.692 0.879
Al 0.813 0.308 0.121
Al 0.308 0.121 0.813
Al 0.308 0.494 0.187
Al 0.879 0.187 0.692
Al 0.121 0.813 0.308
Al 0.494 0.187 0.308
Al 0.813 0.692 0.506
Al 0.692 0.506 0.813
Al 0.506 0.813 0.692
Al 0.187 0.308 0.494
Al 0.692 0.879 0.187
Mo 0.000 0.000 0.000

Results
Total DFT energy (no corrections)   -4.41 eV per atom